Computed, not measured: a relaxed structure of Mg4Cd3 at the PBE level of DFT.

a = 3.3111 Å, b = 4.2531 Å, c = 11.2239 Å
α = 100.92°, β = 98.48°, γ = 90.00°
Element x y z (fractional)
Mg 0.7128 0.2128 0.4256
Mg 0.2872 0.7872 0.5744
Mg 0.4292 0.9292 0.8585
Mg 0.5708 0.0708 0.1415
Cd 0.8551 0.3551 0.7102
Cd 0.0000 0.5000 0.0000
Cd 0.1449 0.6449 0.2898

Computed properties:
SG	No. 71
VASP energy	-1.387	eV/atom
ρ	4.702	g cm⁻³
excess energy over the best structure of this formula in the dataset	0.000	eV per atom